This record from Alexandria via LeMat-Bulk describes crystalline Fe3AgBr at its relaxed geometry. The functional is PBEsol. Values from VASP.

Cell and atoms, written as Quantum ESPRESSO input:
```
&SYSTEM
  ibrav = 0, nat = 5, ntyp = 3
/
ATOMIC_SPECIES
Br 79.90 Br.upf
Ag 107.87 Ag.upf
Fe 55.84 Fe.upf
CELL_PARAMETERS angstrom
4.294 0.000 0.000
0.000 4.294 0.000
0.000 0.000 4.294
ATOMIC_POSITIONS angstrom
Br 0.000 0.000 0.000
Ag 2.147 2.147 2.147
Fe 0.000 2.147 0.000
Fe 0.000 0.000 2.147
Fe 2.147 0.000 0.000
```

Output
The raw total energy comes out at -5.3099 eV/atom. The calculation puts the total magnetic moment at 6.1 μB/f.u. The space group is Pm-3m (221). Its uncorrected formation energy is 25.469 kcal/mol of atoms.

=====

This record from Alexandria via LeMat-Bulk describes crystalline NbInAs2 at its relaxed geometry. The functional is PBEsol. Values from VASP.

Cell and atoms, written as Quantum ESPRESSO input:
```
&SYSTEM
  ibrav = 0, nat = 8, ntyp = 3
/
ATOMIC_SPECIES
Nb 92.91 Nb.upf
As 74.92 As.upf
In 114.82 In.upf
CELL_PARAMETERS angstrom
6.134 0.000 0.000
0.000 6.134 0.000
-3.067 -3.067 5.705
ATOMIC_POSITIONS angstrom
Nb 3.067 0.000 2.853
Nb 3.067 3.067 0.000
As 1.719 4.600 1.426
As 4.415 1.533 1.426
As -1.533 -1.348 4.279
As 1.533 1.348 4.279
In 0.000 3.067 2.853
In 0.000 0.000 0.000
```

Output
The raw total energy comes out at -5.8407 eV/atom. The value obtained for the formation energy is 0.16 eV per atom. The calculation puts the total magnetic moment at 0.0 μB/f.u. The space group is I-42d (122).

=====

This record from Alexandria via LeMat-Bulk describes crystalline NdNiAs at its relaxed geometry. The functional is PBEsol. Values from VASP.

Cell and atoms, written as Quantum ESPRESSO input:
```
&SYSTEM
  ibrav = 0, nat = 3, ntyp = 3
/
ATOMIC_SPECIES
Ni 58.69 Ni.upf
As 74.92 As.upf
Nd 144.24 Nd.upf
CELL_PARAMETERS angstrom
-2.893 -0.994 2.573
0.040 -3.808 -1.426
2.409 1.033 3.108
ATOMIC_POSITIONS angstrom
Ni 0.830 -2.194 0.086
As 0.000 0.000 0.000
Nd 0.173 -1.078 2.883
```

Output
The raw total energy comes out at -6.5317 eV/atom. The value obtained for the formation energy is -1.05 eV per atom. The calculation puts the total magnetic moment at 0.0 μB/f.u. The space group is P-6m2 (187).

=====

This record from Alexandria via LeMat-Bulk describes crystalline ZrSiPdO2 at its relaxed geometry. The functional is PBEsol. Values from VASP.

Cell and atoms, written as Quantum ESPRESSO input:
```
&SYSTEM
  ibrav = 0, nat = 5, ntyp = 4
/
ATOMIC_SPECIES
O 16.00 O.upf
Si 28.09 Si.upf
Zr 91.22 Zr.upf
Pd 106.42 Pd.upf
CELL_PARAMETERS angstrom
-2.390 1.035 -2.938
-2.800 -2.336 1.456
-1.938 4.237 3.069
ATOMIC_POSITIONS angstrom
O -1.400 -1.168 0.728
O -1.195 0.517 -1.469
Si -3.565 1.468 0.793
Zr 0.000 0.000 0.000
Pd -0.969 2.119 1.535
```

Output
The raw total energy comes out at -7.3741 eV/atom. The calculation puts the total magnetic moment at 0.0 μB/f.u. The space group is P4/mmm (123). Its uncorrected formation energy is -25.721 kcal/mol of atoms.